i) VASP calculation (GGA-PBE) on a geometry-optimized ZrBiOF2 structure. Values from VASP.

Output
Space-group type: P4/mmm, No. 123

```
&SYSTEM
  ibrav = 0, nat = 5, ntyp = 4
/
ATOMIC_SPECIES
F 19.00 F.upf
Bi 208.98 Bi.upf
Zr 91.22 Zr.upf
O 16.00 O.upf
ATOMIC_POSITIONS angstrom
F 1.899 -0.166 -1.213
F -0.214 -2.249 -0.028
Bi 2.777 -2.540 0.487
Zr 0.000 0.000 0.000
O 1.093 -0.125 1.728
CELL_PARAMETERS angstrom
-0.428 -4.497 -0.055
3.797 -0.332 -2.426
2.186 -0.251 3.456
```

=====

ii) VASP calculation (GGA-PBE) on a geometry-optimized ZrBiOF2 structure. Values from VASP.

Output
Space-group type: P4/mmm, No. 123

```
&SYSTEM
  ibrav = 0, nat = 5, ntyp = 4
/
ATOMIC_SPECIES
O 16.00 O.upf
F 19.00 F.upf
Zr 91.22 Zr.upf
Bi 208.98 Bi.upf
ATOMIC_POSITIONS angstrom
O -0.365 -1.285 1.869
F -1.665 -1.128 -1.100
F -1.533 1.529 0.752
Zr -3.562 -0.883 1.521
Bi 0.000 0.000 0.000
CELL_PARAMETERS angstrom
-3.065 3.058 1.504
-3.329 -2.255 -2.200
-0.730 -2.570 3.739
```

=====

Energy relative to the most stable one, in kJ/mol of atoms: i) 0.0; ii) 112.8